one | Computed, not measured: a geometry-optimized MnAs2Cl structure at the PBE-GGA level of DFT.

* M_tot: 3.89 μB per formula unit
* Fermi-level density of states: 4.7 states/eV per cell

Cell: 4.977 10.852 2.922 Å, 90.00 90.00 90.00°
Space group Cmmm (No. 65)
One atom of each set of equivalent atoms:
Mn 0.000 0.000 0.000 x2
As 0.250 0.250 0.500 x4
Cl 0.000 0.500 0.000 x2

=====

two | Computed, not measured: a geometry-optimized MnAs2Cl structure at the PBE-GGA level of DFT.

* M_tot: 4.01 μB per formula unit
* Fermi-level density of states: 0.3 states/eV per cell

Cell: 4.247 3.469 7.431 Å, 90.00 100.95 90.00°
Space group Pm (No. 6)
One atom of each set of equivalent atoms:
Mn 0.000 0.000 0.000 x1
As 0.541 0.500 0.817 x1
As 0.797 0.000 0.663 x1
Cl 0.164 0.500 0.220 x1

=====

Which one sits at the top of the stability order? two does.